No. 1
NdSm2ErP4 | PBE | relaxed

a = 4.0918 Å, b = 7.0814 Å, c = 7.0804 Å
α = 70.54°, β = 90.00°, γ = 90.00°
Positions (direct):
Nd: 0.5000 0.5000 0.0000
Sm: 0.0000 0.0000 0.0000
Sm: 0.5000 0.0000 0.5000
Er: 0.0000 0.5000 0.5000
P: 0.0000 0.7495 0.7447
P: 0.0000 0.2505 0.2553
P: 0.5000 0.7456 0.2567
P: 0.5000 0.2544 0.7433

* theoretical density: 6.3 g/cm³
* total moment: 0.000 μB per cell
* energy of formation: -1563 meV per atom
* uncorrected energy: -6.614 eV/atom
* calculated volume: 24.18 A^3/atom

***

No. 2
ScTi2BiF | PBE | relaxed

a = 5.2331 Å, b = 5.2331 Å, c = 3.9709 Å
α = 90.00°, β = 90.00°, γ = 90.00°
Positions (direct):
Sc: 0.0000 0.0000 0.0000
F: 0.0000 0.0000 0.5000
Bi: 0.5000 0.5000 0.5000
Ti: 0.0000 0.5000 0.0000
Ti: 0.5000 0.0000 0.0000

* theoretical density: 5.6 g/cm³
* total moment: 2.823 μB per cell
* uncorrected energy: -5.750 eV/atom
* calculated volume: 21.75 A^3/atom
* formation energy without anion corrections: -4.03 kcal/mol of atoms